Record 1
CdCo3W: PBEsol geometry, meta-GGA SCAN.

Cell: 4.4111 4.4111 4.4111 Å, 90.00 90.00 90.00°
Site moments in Bohr magnetons follow the coordinates.
Fractional positions:
1 Co 0.0000 0.5000 0.0000  1.83
2 Co 0.0000 0.0000 0.5000  1.83
3 Co 0.5000 0.0000 0.0000  1.83
4 W 0.5000 0.5000 0.5000  0.70
5 Cd 0.0000 0.0000 0.0000  -0.09

Values from the calculation:
Energy of formation from the pure elements in meV per atom: 2342
SG: No. 221
V in Å³/atom: 17.2

=====

Record 2
CaCdSe2: PBEsol geometry, meta-GGA SCAN.

Cell: 3.7809 3.9706 6.9268 Å, 90.00 105.84 90.00°
Fractional positions:
1 Ca 0.5348 0.0000 0.0696
2 Se 0.9714 0.5000 0.9427
3 Se 0.2160 0.0000 0.4320
4 Cd 0.7778 0.5000 0.5557

Values from the calculation:
E_form (uncorrected) in kJ/mol of atoms: -128
SG: No. 38
V in Å³/atom: 25.0

=====

Record 3
RbHgI2: PBEsol geometry, meta-GGA SCAN.

Cell: 5.8424 5.8424 5.8424 Å, 60.00 60.00 60.00°
Fractional positions:
1 I 0.2500 0.2500 0.2500
2 I 0.7500 0.7500 0.7500
3 Hg 0.5000 0.5000 0.5000
4 Rb 0.0000 0.0000 0.0000

Values from the calculation:
E_form (uncorrected) in kJ/mol of atoms: -65
SG: No. 225
V in Å³/atom: 35.3

=====

Record 4
KZrH3: PBEsol geometry, meta-GGA SCAN.

Cell: 4.0686 4.0686 4.0686 Å, 90.00 90.00 90.00°
Fractional positions:
1 H 0.0000 0.5000 0.0000
2 H 0.0000 0.0000 0.5000
3 H 0.5000 0.0000 0.0000
4 K 0.0000 0.0000 0.0000
5 Zr 0.5000 0.5000 0.5000

Values from the calculation:
SG: No. 221
Energy above the lowest structure with this stoichiometry in eV/f.u.: 5.58
V in Å³/atom: 13.5

=====

Record 5
NiIr2Os: PBEsol geometry, meta-GGA SCAN.

Cell: 2.6787 2.6787 8.6955 Å, 81.14 81.14 60.00°
Site moments in Bohr magnetons follow the coordinates.
Fractional positions:
1 Ni 0.5007 0.5007 0.4979  0.59
2 Ir 0.9990 0.9990 0.0030  0.01
3 Ir 0.7533 0.7533 0.7402  0.17
4 Os 0.2471 0.2471 0.2588  0.04

Values from the calculation:
Energy of formation from the pure elements in meV per atom: 74
SG: No. 160
Energy above the lowest structure with this stoichiometry in eV/f.u.: 0.33
V in Å³/atom: 13.3

=====

Record 6
TlAg2Hg: PBEsol geometry, meta-GGA SCAN.

Cell: 3.1394 3.1394 8.1195 Å, 90.00 90.00 90.01°
Fractional positions:
1 Tl 0.5000 0.5000 0.0000
2 Hg 0.5000 0.5000 0.5000
3 Ag 0.0000 0.0000 0.2646
4 Ag 0.0000 0.0000 0.7354

Values from the calculation:
Energy of formation from the pure elements in meV per atom: 127
SG: No. 123
V in Å³/atom: 20.0

=====

Record 7
CsMg2As2: PBEsol geometry, meta-GGA SCAN.

Cell: 3.2844 8.7306 8.7306 Å, 90.00 90.00 90.00°
Fractional positions:
1 Cs 0.0000 0.0000 0.0000
2 Cs 0.0000 0.5000 0.5000
3 As 0.0000 0.3510 0.8510
4 As 0.0000 0.8510 0.6490
5 As 0.0000 0.6490 0.1490
6 As 0.0000 0.1490 0.3510
7 Mg 0.5000 0.1262 0.6262
8 Mg 0.5000 0.6262 0.8738
9 Mg 0.5000 0.8738 0.3738
10 Mg 0.5000 0.3738 0.1262

Values from the calculation:
Energy of formation from the pure elements in meV per atom: -238
SG: No. 127
V in Å³/atom: 25.0

=====

Record 8
Sr2LiAu2: PBEsol geometry, meta-GGA SCAN.

Cell: 3.9440 3.9440 9.9416 Å, 101.44 101.44 90.00°
Fractional positions:
1 Sr 0.3787 0.3787 0.7574
2 Sr 0.6213 0.6213 0.2426
3 Au 0.2500 0.7500 0.5000
4 Au 0.7500 0.2500 0.5000
5 Li 0.0000 0.0000 0.0000

Values from the calculation:
Energy of formation from the pure elements in meV per atom: -361
SG: No. 139
Energy above the lowest structure with this stoichiometry in eV/f.u.: 1.98
V in Å³/atom: 29.7

=====

So what do the calculations give for total moment? Going down the list: 6.2 0.0 0.0 0.0 0.8 0.0 0.0 0.0 μB/cell.